1.
BeAl2Pb after structural relaxation. Source: Alexandria, functional GGA-PBE.

Output
ρ   5.657 g/cm³
ΔE to the lowest computed polymorph   368.1 meV/atom
Energy relative to the elements   635 meV per atom
Magnetization   0.0 Bohr magnetons per cell

Cell: 4.823 4.823 4.823 Å, 60.00 60.00 60.00°
Positions (direct):
Pb 0.500 0.500 0.500
Be 0.000 0.000 0.000
Al 0.250 0.250 0.250
Al 0.750 0.750 0.750

***

2.
BeAlPb after structural relaxation. Source: Alexandria, functional GGA-PBE.

Output
ρ   5.867 g/cm³
ΔE to the lowest computed polymorph   660.6 meV/atom
Energy relative to the elements   797 meV per atom
Magnetization   0.0 Bohr magnetons per cell

Cell: 4.600 4.600 4.600 Å, 60.00 60.00 60.00°
Positions (direct):
Pb 0.750 0.750 0.750
Be 0.500 0.500 0.500
Al 0.000 0.000 0.000